PrScGe2 | Alexandria via LeMat-Bulk | PBE | optimized geometry; N(E_F) = 0.66 states/eV per atom; symmetry = Pnma; energy of formation = -3.0 eV per formula unit
1.0
3.993 0.000 0.000
0.000 8.266 0.000
0.000 0.000 11.171
Pr Sc Ge
4 4 8
Direct
0.750 0.868 0.136 Pr
0.250 0.132 0.864 Pr
0.750 0.368 0.364 Pr
0.250 0.632 0.636 Pr
0.250 0.489 0.108 Sc
0.250 0.989 0.392 Sc
0.750 0.511 0.892 Sc
0.750 0.011 0.608 Sc
0.750 0.839 0.811 Ge
0.250 0.161 0.189 Ge
0.750 0.339 0.689 Ge
0.250 0.661 0.311 Ge
0.750 0.761 0.445 Ge
0.250 0.739 0.945 Ge
0.750 0.261 0.055 Ge
0.250 0.239 0.555 Ge